[1]
KMgBiF6 after structural relaxation. Source: Alexandria via LeMat-Bulk, functional GGA-PBE.

Output
The value obtained for the calculated volume is 322 Å³/cell. For the total energy, the calculation gives -4.8723 eV/atom. The size of the total moment is 0.00 μB per atom. The density of states at the Fermi level is 0.000 states/eV per cell. As for the crystal system: trigonal.

Lattice parameters (Å, degrees): 5.8586 5.8586 10.8467 90.00 90.00 120.00
Atoms (fractional coordinates):
1 K 0.0000 0.0000 0.0000
2 K 0.0000 0.0000 0.5000
3 Mg 0.3333 0.6667 0.2500
4 Mg 0.6667 0.3333 0.7500
5 Bi 0.3333 0.6667 0.7500
6 Bi 0.6667 0.3333 0.2500
7 F 0.0325 0.3906 0.1466
8 F 0.0325 0.6420 0.3534
9 F 0.3580 0.3906 0.3534
10 F 0.3580 0.9675 0.1466
11 F 0.3906 0.0325 0.6466
12 F 0.3906 0.3580 0.8534
13 F 0.6094 0.6420 0.1466
14 F 0.6094 0.9675 0.3534
15 F 0.6420 0.0325 0.8534
16 F 0.6420 0.6094 0.6466
17 F 0.9675 0.3580 0.6466
18 F 0.9675 0.6094 0.8534



[2]
Sm12DyY6 after structural relaxation. Source: Alexandria via LeMat-Bulk, functional GGA-PBE.

Output
The value obtained for the calculated volume is 656 Å³/cell. For the total energy, the calculation gives -5.0634 eV/atom. The size of the total moment is 0.00 μB per atom. The density of states at the Fermi level is 37.157 states/eV per cell. The value obtained for the energy of formation from the pure elements is 0.201 eV/atom. As for the crystal system: trigonal. The calculation puts the excess energy over the best structure of this formula in the dataset at 0.0576 eV/atom.

Lattice parameters (Å, degrees): 8.8131 8.8131 8.8131 98.99 98.99 98.99
Atoms (fractional coordinates):
1 Sm 0.0000 0.2573 0.7427
2 Sm 0.0000 0.7427 0.2573
3 Sm 0.1464 0.1463 0.4191
4 Sm 0.1464 0.4191 0.1464
5 Sm 0.2573 0.0000 0.7427
6 Sm 0.2573 0.7427 0.0000
7 Sm 0.4191 0.1464 0.1463
8 Sm 0.5809 0.8536 0.8536
9 Sm 0.7427 0.0000 0.2573
10 Sm 0.7427 0.2574 0.0000
11 Sm 0.8537 0.5809 0.8537
12 Sm 0.8537 0.8536 0.5809
13 Dy 0.5000 0.5000 0.5000
14 Y 0.1628 0.5986 0.5986
15 Y 0.4014 0.4014 0.8372
16 Y 0.4014 0.8372 0.4014
17 Y 0.5986 0.1628 0.5986
18 Y 0.5986 0.5986 0.1628
19 Y 0.8372 0.4014 0.4014



[3]
MgCr2Os after structural relaxation. Source: Alexandria via LeMat-Bulk, functional GGA-PBE.

Output
The value obtained for the calculated volume is 54 Å³/cell. For the total energy, the calculation gives -7.5526 eV/atom. The size of the total moment is 0.00 μB per atom. The density of states at the Fermi level is 4.986 states/eV per cell. The value obtained for the energy of formation from the pure elements is 0.465 eV/atom. As for the crystal system: tetragonal.

Lattice parameters (Å, degrees): 4.7082 4.7082 4.7082 133.28 133.28 68.21
Atoms (fractional coordinates):
1 Mg 0.0000 0.0000 0.0000
2 Cr 0.2500 0.7500 0.5000
3 Cr 0.7500 0.2500 0.5000
4 Os 0.5000 0.5000 0.0000



[4]
AgSb2TeI after structural relaxation. Source: Alexandria via LeMat-Bulk, functional GGA-PBE.

Output
The value obtained for the calculated volume is 162 Å³/cell. For the total energy, the calculation gives -2.5905 eV/atom. The size of the total moment is 0.00 μB per atom. The density of states at the Fermi level is 3.822 states/eV per cell. As for the crystal system: tetragonal. The calculation puts the excess energy over the best structure of this formula in the dataset at 0.0000 eV/atom.

Lattice parameters (Å, degrees): 5.5135 5.5135 5.3372 90.00 90.00 90.00
Atoms (fractional coordinates):
1 Ag 0.0000 0.0000 0.0000
2 Sb 0.0000 0.5000 0.0000
3 Sb 0.5000 0.0000 0.0000
4 Te 0.5000 0.5000 0.5000
5 I 0.0000 0.0000 0.5000



[5]
Ho6TmTe8 after structural relaxation. Source: Alexandria via LeMat-Bulk, functional GGA-PBE.

Output
The value obtained for the calculated volume is 455 Å³/cell. For the total energy, the calculation gives -5.1334 eV/atom. The size of the total moment is 0.00 μB per atom. The density of states at the Fermi level is 6.578 states/eV per cell. As for the crystal system: cubic.

Lattice parameters (Å, degrees): 8.6352 8.6352 8.6352 60.00 60.00 60.00
Atoms (fractional coordinates):
1 Ho 0.0000 0.0000 0.5000
2 Ho 0.0000 0.5000 0.0000
3 Ho 0.0000 0.5000 0.5000
4 Ho 0.5000 0.0000 0.0000
5 Ho 0.5000 0.0000 0.5000
6 Ho 0.5000 0.5000 0.0000
7 Tm 0.0000 0.0000 0.0000
8 Te 0.2500 0.2500 0.2500
9 Te 0.2541 0.2541 0.7459
10 Te 0.2541 0.7459 0.2541
11 Te 0.2541 0.7459 0.7459
12 Te 0.7459 0.2541 0.2541
13 Te 0.7459 0.2541 0.7459
14 Te 0.7459 0.7459 0.2541
15 Te 0.7500 0.7500 0.7500



[6]
Cr2CoBr after structural relaxation. Source: Alexandria via LeMat-Bulk, functional GGA-PBE.

Output
The value obtained for the calculated volume is 63 Å³/cell. For the total energy, the calculation gives -6.4472 eV/atom. The size of the total moment is 0.00 μB per atom. The density of states at the Fermi level is 4.268 states/eV per cell. As for the crystal system: monoclinic. The calculation puts the excess energy over the best structure of this formula in the dataset at 0.1084 eV/atom.

Lattice parameters (Å, degrees): 3.1871 3.0848 6.4383 90.00 90.09 90.00
Atoms (fractional coordinates):
1 Cr 0.0040 0.0000 0.1605
2 Cr 0.9960 0.0000 0.8395
3 Co 0.5000 0.5000 0.0000
4 Br 0.0000 0.5000 0.5000



[7]
CaNiRh after structural relaxation. Source: Alexandria via LeMat-Bulk, functional GGA-PBE.

Output
The value obtained for the calculated volume is 222 Å³/cell. For the total energy, the calculation gives -4.9643 eV/atom. The size of the total moment is 0.20 μB per atom. The density of states at the Fermi level is 18.155 states/eV per cell. The value obtained for the energy of formation from the pure elements is 0.080 eV/atom. As for the crystal system: orthorhombic.

Lattice parameters (Å, degrees): 9.6594 7.2535 7.2099 83.80 48.29 47.91
Atoms (fractional coordinates):
1 Ca 0.0062 0.7624 0.2376
2 Ca 0.2376 0.9938 0.0062
3 Ca 0.7624 0.0062 0.9938
4 Ca 0.9938 0.2376 0.7624
5 Ni 0.1193 0.4933 0.5067
6 Ni 0.4933 0.1193 0.8807
7 Ni 0.5067 0.8807 0.1193
8 Ni 0.8807 0.5067 0.4933
9 Rh 0.3236 0.3236 0.6764
10 Rh 0.4061 0.5939 0.4061
11 Rh 0.5939 0.4061 0.5939
12 Rh 0.6764 0.6764 0.3236



[8]
CaMg2ZnCd after structural relaxation. Source: Alexandria via LeMat-Bulk, functional GGA-PBE.

Output
The value obtained for the calculated volume is 132 Å³/cell. For the total energy, the calculation gives -1.4466 eV/atom. The size of the total moment is 0.00 μB per atom. The density of states at the Fermi level is 2.681 states/eV per cell. The value obtained for the energy of formation from the pure elements is 0.029 eV/atom. As for the crystal system: tetragonal.

Lattice parameters (Å, degrees): 5.0755 5.0755 5.1109 90.00 90.00 90.00
Atoms (fractional coordinates):
1 Ca 0.0000 0.0000 0.0000
2 Mg 0.0000 0.5000 0.5000
3 Mg 0.5000 0.0000 0.5000
4 Zn 0.5000 0.5000 0.5000
5 Cd 0.5000 0.5000 0.0000